# GGA-PBE Dy7Ho2Th, optimized geometry
data_Dy7Ho2Th
_chemical_formula_sum 'Dy14 Ho4 Th2'
_symmetry_space_group_name_H-M 'I m m m'
_symmetry_Int_Tables_number 71
_symmetry_space_group_name_Hall '-I 2 2'
_cell_length_a 3.562
_cell_length_b 11.592
_cell_length_c 16.606
_cell_angle_alpha 90.00
_cell_angle_beta 90.00
_cell_angle_gamma 90.00
loop_
_atom_site_label
_atom_site_fract_x
_atom_site_fract_y
_atom_site_fract_z
Dy1 0.000 0.000 0.000
Dy2 0.000 0.250 0.152
Dy3 0.000 0.500 0.330
Ho1 0.000 0.000 0.332
Th1 0.000 0.500 0.000
# * size of the total moment: 0.00 μB/cell
# * energy of formation from the pure elements: 0.331 eV per atom